(i)
Computed, not measured: Lu2NiPd after structural relaxation at the PBE level of DFT.

The space-group type is R-3m, No. 166. The calculation puts the density of states at the Fermi level at 0.69 states/eV per atom.

POSCAR file:
```
Lu2NiPd
1.0
3.8808 0.0000 0.0000
-1.9404 3.3609 0.0000
0.0000 0.0000 19.5961
Lu Ni Pd
6 3 3
Cartesian
0.0000 0.0000 4.7766
0.0000 0.0000 14.8194
0.0000 2.2406 8.2874
0.0000 2.2406 17.8407
1.9404 1.1203 1.7554
1.9404 1.1203 11.3087
0.0000 0.0000 9.7980
0.0000 2.2406 3.2660
1.9404 1.1203 16.3300
0.0000 0.0000 0.0000
0.0000 2.2406 13.0640
1.9404 1.1203 6.5320
```

***

(ii)
Computed, not measured: Lu2NiPd after structural relaxation at the PBE level of DFT.

The space-group type is P4/mmm, No. 123. The calculation puts the density of states at the Fermi level at 1.04 states/eV per atom.

POSCAR file:
```
Lu2NiPd
1.0
3.3729 0.0000 0.0000
0.0000 3.3729 0.0000
0.0000 0.0000 6.7533
Lu Ni Pd
2 1 1
Cartesian
0.0000 0.0000 1.6204
0.0000 0.0000 5.1329
1.6864 1.6864 0.0000
1.6864 1.6864 3.3767
```

***

The structure with the greatest stability is (ii).

***

(i)
Computed, not measured: PrLu2Ni after structural relaxation at the PBE level of DFT.

The space-group type is P4/mmm, No. 123. The calculation puts the density of states at the Fermi level at 0.80 states/eV per atom.

POSCAR file:
```
PrLu2Ni
1.0
3.3950 0.0000 0.0000
0.0000 3.3950 0.0000
0.0000 0.0000 8.7136
Pr Lu Ni
1 2 1
Cartesian
0.0000 0.0000 0.0000
1.6975 1.6975 2.7860
1.6975 1.6975 5.9276
0.0000 0.0000 4.3568
```

***

(ii)
Computed, not measured: PrLu2Ni after structural relaxation at the PBE level of DFT.

The space-group type is R-3m, No. 166. The calculation puts the density of states at the Fermi level at 1.35 states/eV per atom.

POSCAR file:
```
PrLu2Ni
1.0
3.7408 0.0000 0.0000
-1.8704 3.2396 0.0000
0.0000 0.0000 27.3686
Pr Lu Ni
3 6 3
Cartesian
0.0000 0.0000 0.0000
0.0000 2.1598 18.2457
1.8704 1.0799 9.1229
0.0000 0.0000 6.0931
0.0000 0.0000 21.2755
0.0000 2.1598 12.1526
0.0000 2.1598 24.3389
1.8704 1.0799 3.0297
1.8704 1.0799 15.2160
0.0000 0.0000 13.6843
0.0000 2.1598 4.5614
1.8704 1.0799 22.8072
```

***

The structure with the greatest stability is (i).

***

(i)
Computed, not measured: PrLuNi2 after structural relaxation at the PBE level of DFT.

The space-group type is Fm-3m, No. 225. The calculation puts the density of states at the Fermi level at 0.99 states/eV per atom.

POSCAR file:
```
PrLuNi2
1.0
6.8318 0.0000 0.0000
0.0000 6.8318 0.0000
0.0000 0.0000 6.8318
Pr Lu Ni
4 4 8
Cartesian
0.0000 0.0000 0.0000
0.0000 3.4159 3.4159
3.4159 0.0000 3.4159
3.4159 3.4159 0.0000
0.0000 0.0000 3.4159
0.0000 3.4159 0.0000
3.4159 0.0000 0.0000
3.4159 3.4159 3.4159
1.7080 1.7080 1.7080
1.7080 1.7080 5.1239
1.7080 5.1239 1.7080
1.7080 5.1239 5.1239
5.1239 1.7080 1.7080
5.1239 1.7080 5.1239
5.1239 5.1239 1.7080
5.1239 5.1239 5.1239
```

***

(ii)
Computed, not measured: PrLuNi2 after structural relaxation at the PBE level of DFT.

The space-group type is P4/mmm, No. 123. The calculation puts the density of states at the Fermi level at 0.99 states/eV per atom.

POSCAR file:
```
PrLuNi2
1.0
3.4083 0.0000 0.0000
0.0000 3.4083 0.0000
0.0000 0.0000 6.8188
Pr Lu Ni
1 1 2
Cartesian
0.0000 0.0000 0.0000
0.0000 0.0000 3.4094
1.7041 1.7041 1.9062
1.7041 1.7041 4.9126
```

***

The structure with the greatest stability is (ii).

***

(i)
Computed, not measured: Lu2PuNi after structural relaxation at the PBE level of DFT.

The space-group type is P4/mmm, No. 123. The calculation puts the density of states at the Fermi level at 2.01 states/eV per atom.

POSCAR file:
```
Lu2PuNi
1.0
3.3234 0.0000 0.0000
0.0000 3.3234 0.0000
0.0000 0.0000 8.4460
Lu Pu Ni
2 1 1
Cartesian
0.0000 0.0000 1.5968
0.0000 0.0000 6.8491
1.6617 1.6617 4.2230
1.6617 1.6617 0.0000
```

***

(ii)
Computed, not measured: Lu2PuNi after structural relaxation at the PBE level of DFT.

The space-group type is R-3m, No. 166. The calculation puts the density of states at the Fermi level at 2.75 states/eV per atom.

POSCAR file:
```
Lu2PuNi
1.0
3.5545 0.0000 0.0000
-1.7773 3.0783 0.0000
0.0000 0.0000 27.5906
Lu Pu Ni
6 3 3
Cartesian
0.0000 0.0000 6.2967
0.0000 0.0000 21.2939
0.0000 2.0522 12.0970
0.0000 2.0522 24.6905
1.7773 1.0261 2.9002
1.7773 1.0261 15.4936
0.0000 0.0000 0.0000
0.0000 2.0522 18.3938
1.7773 1.0261 9.1969
0.0000 0.0000 13.7953
0.0000 2.0522 4.5984
1.7773 1.0261 22.9922
```

***

The structure with the greatest stability is (i).

***

(i)
Computed, not measured: LuSc2Ni after structural relaxation at the PBE level of DFT.

The space-group type is R-3m, No. 166. The calculation puts the density of states at the Fermi level at 1.63 states/eV per atom.

POSCAR file:
```
LuSc2Ni
1.0
3.2987 0.0000 0.0000
-1.6493 2.8567 0.0000
0.0000 0.0000 29.8241
Lu Sc Ni
3 6 3
Cartesian
0.0000 0.0000 0.0000
0.0000 1.9045 19.8827
1.6493 0.9522 9.9414
0.0000 0.0000 3.2262
0.0000 0.0000 26.5979
0.0000 1.9045 16.6565
0.0000 1.9045 23.1089
1.6493 0.9522 6.7152
1.6493 0.9522 13.1676
0.0000 0.0000 14.9120
0.0000 1.9045 4.9707
1.6493 0.9522 24.8534
```

***

(ii)
Computed, not measured: LuSc2Ni after structural relaxation at the PBE level of DFT.

The space-group type is P4/mmm, No. 123. The calculation puts the density of states at the Fermi level at 1.48 states/eV per atom.

POSCAR file:
```
LuSc2Ni
1.0
3.2451 0.0000 0.0000
0.0000 3.2451 0.0000
0.0000 0.0000 8.1624
Lu Sc Ni
1 2 1
Cartesian
0.0000 0.0000 0.0000
1.6226 1.6226 2.5608
1.6226 1.6226 5.6016
0.0000 0.0000 4.0812
```

***

The structure with the greatest stability is (ii).

***

(i)
Computed, not measured: SmLu2Ni after structural relaxation at the PBE level of DFT.

The space-group type is R-3m, No. 166. The calculation puts the density of states at the Fermi level at 1.62 states/eV per atom.

POSCAR file:
```
SmLu2Ni
1.0
3.5155 0.0000 0.0000
-1.7578 3.0445 0.0000
0.0000 0.0000 30.9835
Sm Lu Ni
3 6 3
Cartesian
0.0000 0.0000 0.0000
0.0000 2.0297 20.6557
1.7578 1.0148 10.3278
0.0000 0.0000 3.4646
0.0000 0.0000 27.5188
0.0000 2.0297 17.1910
0.0000 2.0297 24.1203
1.7578 1.0148 6.8632
1.7578 1.0148 13.7925
0.0000 0.0000 15.4917
0.0000 2.0297 5.1639
1.7578 1.0148 25.8196
```

***

(ii)
Computed, not measured: SmLu2Ni after structural relaxation at the PBE level of DFT.

The space-group type is P4/mmm, No. 123. The calculation puts the density of states at the Fermi level at 0.82 states/eV per atom.

POSCAR file:
```
SmLu2Ni
1.0
3.3781 0.0000 0.0000
0.0000 3.3781 0.0000
0.0000 0.0000 8.6218
Sm Lu Ni
1 2 1
Cartesian
0.0000 0.0000 0.0000
1.6890 1.6890 2.7336
1.6890 1.6890 5.8881
0.0000 0.0000 4.3109
```

***

The structure with the greatest stability is (ii).

***

(i)
Computed, not measured: Lu2NiSn after structural relaxation at the PBE level of DFT.

The space-group type is P4/mmm, No. 123. The calculation puts the density of states at the Fermi level at 0.41 states/eV per atom.

POSCAR file:
```
Lu2NiSn
1.0
3.4130 0.0000 0.0000
0.0000 3.4130 0.0000
0.0000 0.0000 7.4385
Lu Ni Sn
2 1 1
Cartesian
0.0000 0.0000 1.5767
0.0000 0.0000 5.8618
1.7065 1.7065 0.0000
1.7065 1.7065 3.7193
```

***

(ii)
Computed, not measured: Lu2NiSn after structural relaxation at the PBE level of DFT.

The space-group type is R-3m, No. 166. The calculation puts the density of states at the Fermi level at 0.93 states/eV per atom.

POSCAR file:
```
Lu2NiSn
1.0
3.7168 0.0000 0.0000
-1.8584 3.2188 0.0000
0.0000 0.0000 27.6416
Lu Ni Sn
6 3 3
Cartesian
0.0000 0.0000 3.1036
0.0000 0.0000 24.5380
0.0000 2.1459 15.3241
0.0000 2.1459 21.5314
1.8584 1.0729 6.1102
1.8584 1.0729 12.3175
0.0000 0.0000 13.8208
0.0000 2.1459 4.6070
1.8584 1.0729 23.0347
0.0000 0.0000 0.0000
0.0000 2.1459 18.4278
1.8584 1.0729 9.2139
```

***

The structure with the greatest stability is (i).